Crystalline Zr2BeC at its relaxed geometry. Source: Alexandria, functional PBE.

The structure in extended XYZ format:
```
4
Lattice="0.000 3.048 3.048 3.048 0.000 3.048 3.048 3.048 0.000" Properties=species:S:1:pos:R:3 pbc="T T T"
Zr 4.572 4.572 4.572
Zr 1.524 1.524 1.524
C 3.048 3.048 3.048
Be 0.000 0.000 0.000
```

Output
The value obtained for the excess energy over the best structure of this formula in the dataset is 929.4 meV/atom. The calculation puts the volume at 14.158 Å³/atom. The calculation puts the density of states at the Fermi level at 5.49 states/eV/cell. The calculation puts the formation energy at 0.477 eV/atom. As for the symmetry: No. 225. The total moment is 0.00 μB per cell. The calculation puts the total energy at -0.259 hartree per atom.